The following is a GGA-PBE calculation of NpNiPd6 after structural relaxation, from the Alexandria database.

a = 5.6707 Å, b = 5.6707 Å, c = 3.9973 Å
α = 90.00°, β = 90.00°, γ = 90.00°
With the nearest neighbours (Å) after each atom.
Space group P4/mmm (No. 123)
Unique sites:
Np: 0.0000 0.0000 0.0000 (multiplicity 1)  12 Pd 2.84-2.87
Ni: 0.5000 0.5000 0.0000 (multiplicity 1)  12 Pd 2.79-2.84
Pd: 0.0000 0.5000 0.0000 (multiplicity 2)  8 Pd 2.83, 2 Ni 2.84, 2 Np 2.84
Pd: 0.2564 0.2564 0.5000 (multiplicity 4)  8 Pd 2.76-2.91, 2 Ni 2.79, 2 Np 2.87

## Properties
Energy of formation from the pure elements   -0.219 eV/atom

***

The following is a GGA-PBE calculation of DyTm8In6 after structural relaxation, from the Alexandria database.

a = 8.9300 Å, b = 8.9300 Å, c = 19.3256 Å
α = 90.00°, β = 90.00°, γ = 120.00°
With the nearest neighbours (Å) after each atom.
Space group R-3 (No. 148, hexagonal axes)
Unique sites:
Dy: 0.0000 0.0000 0.0000 (multiplicity 3)  6 In 3.21
Tm: 0.0000 0.0000 0.3333 (multiplicity 6)  6 In 3.19-3.20
Tm: 0.0005 0.3331 0.2205 (multiplicity 18)  5 In 3.09-3.36
In: 0.0002 0.3348 0.0608 (multiplicity 18)  7 Tm 3.09-3.36, 1 Dy 3.21

## Properties
Energy of formation from the pure elements   -0.188 eV/atom

***

The following is a GGA-PBE calculation of AlCr2CdIr after structural relaxation, from the Alexandria database.

a = 4.7409 Å, b = 4.7409 Å, c = 5.1713 Å
α = 90.00°, β = 90.00°, γ = 90.00°
With the nearest neighbours (Å) after each atom.
Space group P4/mmm (No. 123)
Unique sites:
Al: 0.0000 0.0000 0.0000 (multiplicity 1)  4 Cd 3.35, 8 Cr 3.51
Cr: 0.0000 0.5000 0.5000 (multiplicity 2)  2 Ir 2.37
Cd: 0.5000 0.5000 0.0000 (multiplicity 1)  2 Ir 2.59
Ir: 0.5000 0.5000 0.5000 (multiplicity 1)  4 Cr 2.37, 2 Cd 2.59

## Properties
Energy of formation from the pure elements   0.960 eV/atom

***

The following is a GGA-PBE calculation of NaPm2PaSb4 after structural relaxation, from the Alexandria database.

a = 7.6765 Å, b = 4.4779 Å, c = 7.7338 Å
α = 90.00°, β = 108.76°, γ = 90.00°
With the nearest neighbours (Å) after each atom.
Space group P2/m (No. 10)
Unique sites:
Na: 0.0000 0.0000 0.0000 (multiplicity 1)  6 Sb 3.12-3.19
Pm: 0.0000 0.5000 0.5000 (multiplicity 1)  6 Sb 3.23
Pm: 0.5000 0.0000 0.5000 (multiplicity 1)  6 Sb 3.14-3.15
Pa: 0.5000 0.5000 0.0000 (multiplicity 1)  6 Sb 3.03-3.11
Sb: 0.2582 0.0000 0.7597 (multiplicity 2)  2 Pa 3.11, 1 Na 3.12, 3 Pm 3.14-3.23
Sb: 0.2617 0.5000 0.2452 (multiplicity 2)  1 Pa 3.03, 3 Pm 3.15-3.23, 2 Na 3.19

## Properties
ΔE_f (raw)   -0.7361 eV/atom

***

The following is a GGA-PBE calculation of LiPuSb2 after structural relaxation, from the Alexandria database.

a = 4.4988 Å, b = 4.4988 Å, c = 19.2729 Å
α = 90.00°, β = 90.00°, γ = 120.00°
With the nearest neighbours (Å) after each atom.
Space group R3m (No. 160, hexagonal axes)
Unique sites:
Li: 0.0000 0.0000 0.0000 (multiplicity 3)  6 Sb 2.89-3.09
Pu: 0.0000 0.0000 0.8206 (multiplicity 3)  6 Sb 3.11-3.15, 1 Li 3.46
Sb: 0.0000 0.0000 0.2469 (multiplicity 3)  1 Sb 2.93, 3 Li 3.09, 3 Pu 3.15
Sb: 0.0000 0.0000 0.3988 (multiplicity 3)  3 Li 2.89, 1 Sb 2.93, 3 Pu 3.11

## Properties
ΔE_f (raw)   -0.3954 eV/atom

***

Number 1: spin magnetization 1.65 μB/f.u.. Number 2: spin magnetization 0.00 μB/f.u.. Number 3: spin magnetization 7.02 μB/f.u.. Number 4: spin magnetization 0.00 μB/f.u.. Number 5: spin magnetization 5.40 μB/f.u..